DFT (PBE-GGA) results for an optimized crystal structure of Pr5Dy4Ho2.

- total DFT energy (no corrections) (eV per cell) = -50.62
- Fermi-level density of states (states/eV per atom) = 1.387
- formation energy (eV/atom) = 0.0761
- magnetic moment (μB per cell) = 0.00

Unit cell a=3.568 b=11.695 c=9.077 alpha=93.90 beta=101.33 gamma=90.00
Positions (direct):
Pr 0.903 0.464 0.806
Pr 0.097 0.536 0.194
Pr 0.823 0.928 0.646
Pr 0.500 0.000 0.000
Pr 0.177 0.072 0.354
Dy 0.359 0.205 0.719
Dy 0.964 0.739 0.928
Dy 0.641 0.795 0.281
Dy 0.036 0.261 0.072
Ho 0.716 0.353 0.432
Ho 0.284 0.647 0.568